i) # ScCSCl2 | Alexandria | PBE | optimized geometry
data_ScCSCl2
_cell_length_a 4.871
_cell_length_b 4.871
_cell_length_c 5.179
_cell_angle_alpha 90.00
_cell_angle_beta 90.00
_cell_angle_gamma 90.00
_symmetry_space_group_name_H-M 'P 1'
_symmetry_Int_Tables_number 1
loop_
_symmetry_equiv_pos_as_xyz
'x,y,z'
loop_
_atom_site_label
_atom_site_fract_x
_atom_site_fract_y
_atom_site_fract_z
_atom_site_occupancy
Sc1 0.000 0.000 0.000 1
C1 0.500 0.500 0.500 1
S1 0.000 0.000 0.500 1
Cl1 0.000 0.500 0.000 1
Cl2 0.500 0.000 0.000 1
# mass density = 2162 kg/m3
# volume = 24.571 Å³ per atom

***

ii) # ScCSCl2 | Alexandria | PBE | optimized geometry
data_ScCSCl2
_cell_length_a 4.262
_cell_length_b 4.262
_cell_length_c 4.451
_cell_angle_alpha 90.00
_cell_angle_beta 90.00
_cell_angle_gamma 90.00
_symmetry_space_group_name_H-M 'P 1'
_symmetry_Int_Tables_number 1
loop_
_symmetry_equiv_pos_as_xyz
'x,y,z'
loop_
_atom_site_label
_atom_site_fract_x
_atom_site_fract_y
_atom_site_fract_z
_atom_site_occupancy
Sc1 0.000 0.000 0.000 1
C1 0.500 0.500 0.500 1
S1 0.500 0.500 0.000 1
Cl1 0.000 0.500 0.500 1
Cl2 0.500 0.000 0.500 1
# mass density = 3284 kg/m3
# volume = 16.174 Å³ per atom

***

Ranked by calculated energy, most stable first: i), ii).